# 1
## LiOsRhW (PBE-GGA)

Data for a relaxed structure of LiOsRhW.

Geometry as CIF:
```
data_LiOsRhW
_chemical_formula_sum 'Li1 Os1 Rh1 W1'
_space_group_name_H-M_alt 'P 1'
_space_group_IT_number 1
_cell_length_a 4.295
_cell_length_b 4.295
_cell_length_c 4.295
_cell_angle_alpha 60.00
_cell_angle_beta 60.00
_cell_angle_gamma 60.00
loop_
_space_group_symop_operation_xyz
'x,y,z'
loop_
_atom_site_label
_atom_site_type_symbol
_atom_site_fract_x
_atom_site_fract_y
_atom_site_fract_z
Li1 Li 0.000 0.000 0.000
Os1 Os 0.750 0.750 0.750
Rh1 Rh 0.250 0.250 0.250
W1 W 0.500 0.500 0.500
```

Calculated values
DFT formation energy   -0.5 eV/f.u.
Mass density   14.35 Mg/m³
Electronic total energy   -0.6232 Ry per atom
Symmetry   F-43m, No. 216
Crystal system   cubic

---

# 2
## LiZrOs2Rh (PBE-GGA)

Data for a relaxed structure of LiZrOs2Rh.

Geometry as CIF:
```
data_LiZrOs2Rh
_chemical_formula_sum 'Li1 Zr1 Os2 Rh1'
_space_group_name_H-M_alt 'P 1'
_space_group_IT_number 1
_cell_length_a 4.139
_cell_length_b 4.139
_cell_length_c 4.364
_cell_angle_alpha 90.00
_cell_angle_beta 90.00
_cell_angle_gamma 90.00
loop_
_space_group_symop_operation_xyz
'x,y,z'
loop_
_atom_site_label
_atom_site_type_symbol
_atom_site_fract_x
_atom_site_fract_y
_atom_site_fract_z
Li1 Li 0.000 0.000 0.000
Zr1 Zr 0.000 0.000 0.500
Os1 Os 0.000 0.500 0.000
Os2 Os 0.500 0.000 0.000
Rh1 Rh 0.500 0.500 0.500
```

Calculated values
DFT formation energy   4.1 eV/f.u.
Mass density   12.92 Mg/m³
Electronic total energy   -0.5319 Ry per atom
Symmetry   P4/mmm, No. 123
Crystal system   tetragonal

---

# 3
## LiOs2Ru (PBE-GGA)

Data for a relaxed structure of LiOs2Ru.

Geometry as CIF:
```
data_LiOs2Ru
_chemical_formula_sum 'Li1 Os2 Ru1'
_space_group_name_H-M_alt 'P 1'
_space_group_IT_number 1
_cell_length_a 4.792
_cell_length_b 4.792
_cell_length_c 4.792
_cell_angle_alpha 134.95
_cell_angle_beta 134.95
_cell_angle_gamma 65.61
loop_
_space_group_symop_operation_xyz
'x,y,z'
loop_
_atom_site_label
_atom_site_type_symbol
_atom_site_fract_x
_atom_site_fract_y
_atom_site_fract_z
Li1 Li 0.000 0.000 0.000
Os1 Os 0.250 0.750 0.500
Os2 Os 0.750 0.250 0.500
Ru1 Ru 0.500 0.500 0.000
```

Calculated values
DFT formation energy   1.3 eV/f.u.
Mass density   14.93 Mg/m³
Electronic total energy   -0.5938 Ry per atom
Symmetry   I4/mmm, No. 139
Crystal system   tetragonal

---

# 4
## LiOs2Ru (PBE-GGA)

Data for a relaxed structure of LiOs2Ru.

Geometry as CIF:
```
data_LiOs2Ru
_chemical_formula_sum 'Li1 Os2 Ru1'
_space_group_name_H-M_alt 'P 1'
_space_group_IT_number 1
_cell_length_a 5.007
_cell_length_b 5.007
_cell_length_c 5.007
_cell_angle_alpha 146.52
_cell_angle_beta 128.63
_cell_angle_gamma 62.72
loop_
_space_group_symop_operation_xyz
'x,y,z'
loop_
_atom_site_label
_atom_site_type_symbol
_atom_site_fract_x
_atom_site_fract_y
_atom_site_fract_z
Li1 Li 0.000 0.000 0.000
Os1 Os 0.242 0.742 0.500
Os2 Os 0.758 0.258 0.500
Ru1 Ru 0.500 0.500 0.000
```

Calculated values
DFT formation energy   1.1 eV/f.u.
Mass density   15.15 Mg/m³
Electronic total energy   -0.5985 Ry per atom
Symmetry   Immm, No. 71
Crystal system   orthorhombic

---

# 5
## Li2OsRu (PBE-GGA)

Data for a relaxed structure of Li2OsRu.

Geometry as CIF:
```
data_Li2OsRu
_chemical_formula_sum 'Li2 Os1 Ru1'
_space_group_name_H-M_alt 'P 1'
_space_group_IT_number 1
_cell_length_a 4.170
_cell_length_b 4.170
_cell_length_c 4.170
_cell_angle_alpha 119.93
_cell_angle_beta 119.93
_cell_angle_gamma 90.12
loop_
_space_group_symop_operation_xyz
'x,y,z'
loop_
_atom_site_label
_atom_site_type_symbol
_atom_site_fract_x
_atom_site_fract_y
_atom_site_fract_z
Li1 Li 0.000 0.000 0.000
Li2 Li 0.750 0.250 0.500
Os1 Os 0.500 0.500 0.000
Ru1 Ru 0.250 0.750 0.500
```

Calculated values
DFT formation energy   0.4 eV/f.u.
Mass density   9.87 Mg/m³
Electronic total energy   -0.4399 Ry per atom
Symmetry   I-4m2, No. 119
ΔE to the lowest computed polymorph   0.0 meV/atom
Crystal system   tetragonal

---

# 6
## LiOsRu2 (PBE-GGA)

Data for a relaxed structure of LiOsRu2.

Geometry as CIF:
```
data_LiOsRu2
_chemical_formula_sum 'Li1 Os1 Ru2'
_space_group_name_H-M_alt 'P 1'
_space_group_IT_number 1
_cell_length_a 2.646
_cell_length_b 2.646
_cell_length_c 9.190
_cell_angle_alpha 90.00
_cell_angle_beta 90.00
_cell_angle_gamma 117.68
loop_
_space_group_symop_operation_xyz
'x,y,z'
loop_
_atom_site_label
_atom_site_type_symbol
_atom_site_fract_x
_atom_site_fract_y
_atom_site_fract_z
Li1 Li 0.000 0.000 0.000
Os1 Os 0.500 0.500 0.252
Ru1 Ru 0.000 0.000 0.502
Ru2 Ru 0.500 0.500 0.749
```

Calculated values
DFT formation energy   1.6 eV/f.u.
Mass density   11.63 Mg/m³
Electronic total energy   -0.5534 Ry per atom
Symmetry   Cmm2, No. 35
ΔE to the lowest computed polymorph   206.3 meV/atom
Crystal system   orthorhombic

---

# 7
## LiOsRu2 (PBE-GGA)

Data for a relaxed structure of LiOsRu2.

Geometry as CIF:
```
data_LiOsRu2
_chemical_formula_sum 'Li1 Os1 Ru2'
_space_group_name_H-M_alt 'P 1'
_space_group_IT_number 1
_cell_length_a 4.573
_cell_length_b 4.573
_cell_length_c 4.704
_cell_angle_alpha 96.78
_cell_angle_beta 96.78
_cell_angle_gamma 33.94
loop_
_space_group_symop_operation_xyz
'x,y,z'
loop_
_atom_site_label
_atom_site_type_symbol
_atom_site_fract_x
_atom_site_fract_y
_atom_site_fract_z
Li1 Li 0.000 0.000 0.000
Os1 Os 0.500 0.500 0.500
Ru1 Ru 0.242 0.242 0.752
Ru2 Ru 0.758 0.758 0.248
```

Calculated values
DFT formation energy   0.9 eV/f.u.
Mass density   12.17 Mg/m³
Electronic total energy   -0.5652 Ry per atom
Symmetry   C2/m, No. 12
ΔE to the lowest computed polymorph   45.7 meV/atom
Crystal system   monoclinic

---

# 8
## Li2OsRu (PBE-GGA)

Data for a relaxed structure of Li2OsRu.

Geometry as CIF:
```
data_Li2OsRu
_chemical_formula_sum 'Li2 Os1 Ru1'
_space_group_name_H-M_alt 'P 1'
_space_group_IT_number 1
_cell_length_a 3.553
_cell_length_b 3.553
_cell_length_c 4.390
_cell_angle_alpha 90.00
_cell_angle_beta 90.00
_cell_angle_gamma 90.00
loop_
_space_group_symop_operation_xyz
'x,y,z'
loop_
_atom_site_label
_atom_site_type_symbol
_atom_site_fract_x
_atom_site_fract_y
_atom_site_fract_z
Li1 Li 0.000 0.500 0.000
Li2 Li 0.500 0.000 0.000
Os1 Os 0.000 0.000 0.500
Ru1 Ru 0.500 0.500 0.500
```

Calculated values
DFT formation energy   1.3 eV/f.u.
Mass density   9.15 Mg/m³
Electronic total energy   -0.4228 Ry per atom
Symmetry   P4/mmm, No. 123
ΔE to the lowest computed polymorph   232.3 meV/atom
Crystal system   tetragonal